Record 1
# K4Nd3InO8, relaxed, DFT GGA-PBE
data_K4Nd3InO8
_chemical_formula_sum 'K12 Nd9 In3 O24'
_cell_length_a 7.1524
_cell_length_b 7.1524
_cell_length_c 18.9098
_cell_angle_alpha 90.00
_cell_angle_beta 90.00
_cell_angle_gamma 120.00
_space_group_name_H-M_alt 'R -3 m'
_space_group_IT_number 166
_space_group_name_Hall '-R 3 2"'
loop_
_atom_site_label
_atom_site_fract_x
_atom_site_fract_y
_atom_site_fract_z
_atom_site_occupancy
K1 0.0000 0.0000 0.0000 1
K2 0.0000 0.5000 0.0000 1
Nd1 0.0000 0.5000 0.5000 1
In1 0.0000 0.0000 0.5000 1
O1 0.0000 0.0000 0.2303 1
O2 0.0104 0.5052 0.2306 1
# Calculated volume   837.8 Å³ per cell
# N(E_F)   0.00 states/eV/f.u.
# Formation energy without anion corrections   -2.31 eV/atom

---

Record 2
# Rb2PdF7, relaxed, DFT GGA-PBE
data_Rb2PdF7
_chemical_formula_sum 'Rb8 Pd4 F28'
_cell_length_a 14.507
_cell_length_b 6.569
_cell_length_c 10.286
_cell_angle_alpha 90.00
_cell_angle_beta 132.73
_cell_angle_gamma 90.00
_space_group_name_H-M_alt 'C 1 2/c 1'
_space_group_IT_number 15
loop_
_space_group_symop_operation_xyz
'x,y,z'
'-x,-y,-z'
'-x,y,-z+1/2'
'x,-y,z+1/2'
'x+1/2,y+1/2,z'
'-x+1/2,-y+1/2,-z'
'-x+1/2,y+1/2,-z+1/2'
'x+1/2,-y+1/2,z+1/2'
loop_
_atom_site_label
_atom_site_fract_x
_atom_site_fract_y
_atom_site_fract_z
_atom_site_occupancy
Rb1 0.157 0.159 0.236 1
Pd1 0.000 0.313 0.750 1
F1 0.000 0.393 0.250 1
F2 0.070 0.033 0.904 1
F3 0.093 0.318 0.675 1
F4 0.159 0.369 0.990 1
# Calculated volume   720.0 Å³ per cell
# N(E_F)   0.53 states/eV/f.u.
# Formation energy without anion corrections   -1.74 eV/atom
# E above lowest polymorph   0.0561 eV/atom

---

Record 3
# CdSeO2, relaxed, DFT GGA-PBE
data_CdSeO2
_chemical_formula_sum 'Cd3 Se3 O6'
_cell_length_a 3.1845
_cell_length_b 3.1845
_cell_length_c 21.4246
_cell_angle_alpha 90.00
_cell_angle_beta 90.00
_cell_angle_gamma 120.00
_space_group_name_H-M_alt 'R -3 m'
_space_group_IT_number 166
_space_group_name_Hall '-R 3 2"'
loop_
_atom_site_label
_atom_site_fract_x
_atom_site_fract_y
_atom_site_fract_z
_atom_site_occupancy
Cd1 0.0000 0.0000 0.0000 1
Se1 0.0000 0.0000 0.5000 1
O1 0.0000 0.0000 0.1174 1
# Calculated volume   188.2 Å³ per cell
# N(E_F)   1.06 states/eV/f.u.
# Formation energy without anion corrections   -0.20 eV/atom
# E above lowest polymorph   0.4304 eV/atom

---

Record 4
# ReTcCl2, relaxed, DFT GGA-PBE
data_ReTcCl2
_chemical_formula_sum 'Re4 Tc4 Cl8'
_cell_length_a 6.413
_cell_length_b 6.413
_cell_length_c 6.413
_cell_angle_alpha 90.00
_cell_angle_beta 90.00
_cell_angle_gamma 90.00
_space_group_name_H-M_alt 'F -4 3 m'
_space_group_IT_number 216
_space_group_name_Hall 'F -4 2 3'
loop_
_atom_site_label
_atom_site_fract_x
_atom_site_fract_y
_atom_site_fract_z
_atom_site_occupancy
Re1 0.000 0.000 0.000 1
Tc1 0.250 0.250 0.750 1
Cl1 0.000 0.000 0.500 1
Cl2 0.250 0.250 0.250 1
# Calculated volume   263.7 Å³ per cell
# N(E_F)   2.77 states/eV/f.u.
# Formation energy without anion corrections   1.11 eV/atom
# E above lowest polymorph   1.2641 eV/atom

---

Record 5
# LiAgSbSe2, relaxed, DFT GGA-PBE
data_LiAgSbSe2
_chemical_formula_sum 'Li1 Ag1 Sb1 Se2'
_cell_length_a 5.449
_cell_length_b 5.449
_cell_length_c 4.983
_cell_angle_alpha 90.00
_cell_angle_beta 90.00
_cell_angle_gamma 90.00
_space_group_name_H-M_alt 'P 4/m m m'
_space_group_IT_number 123
_space_group_name_Hall '-P 4 2'
loop_
_atom_site_label
_atom_site_fract_x
_atom_site_fract_y
_atom_site_fract_z
_atom_site_occupancy
Li1 0.000 0.000 0.000 1
Ag1 0.500 0.500 0.000 1
Sb1 0.000 0.000 0.500 1
Se1 0.000 0.500 0.500 1
# Calculated volume   147.9 Å³ per cell
# N(E_F)   6.72 states/eV/f.u.
# Formation energy without anion corrections   0.29 eV/atom

---

Record 6
# TmMnB, relaxed, DFT GGA-PBE
data_TmMnB
_chemical_formula_sum 'Tm2 Mn2 B2'
_cell_length_a 3.458
_cell_length_b 3.458
_cell_length_c 7.724
_cell_angle_alpha 90.00
_cell_angle_beta 90.00
_cell_angle_gamma 90.00
_space_group_name_H-M_alt 'P 4/n m m'
_space_group_IT_number 129
loop_
_space_group_symop_operation_xyz
'x,y,z'
'-x,-y,-z'
'-y+1/2,x,z'
'y+1/2,-x,-z'
'-x+1/2,-y+1/2,z'
'x+1/2,y+1/2,-z'
'y,-x+1/2,z'
'-y,x+1/2,-z'
'x+1/2,-y,-z'
'-x+1/2,y,z'
'-y,-x,-z'
'y,x,z'
'-x,y+1/2,-z'
'x,-y+1/2,z'
'y+1/2,x+1/2,-z'
'-y+1/2,-x+1/2,z'
loop_
_atom_site_label
_atom_site_fract_x
_atom_site_fract_y
_atom_site_fract_z
_atom_site_occupancy
Tm1 0.250 0.250 0.187 1
Mn1 0.250 0.750 0.500 1
B1 0.250 0.250 0.658 1
# Calculated volume   92.4 Å³ per cell
# N(E_F)   2.24 states/eV/f.u.
# Formation energy   -0.33 eV/atom

---

Record 7
# BeReSe2N, relaxed, DFT GGA-PBE
data_BeReSe2N
_chemical_formula_sum 'Be1 Re1 Se2 N1'
_cell_length_a 4.784
_cell_length_b 4.784
_cell_length_c 4.557
_cell_angle_alpha 90.00
_cell_angle_beta 90.00
_cell_angle_gamma 90.00
_space_group_name_H-M_alt 'P 4/m m m'
_space_group_IT_number 123
_space_group_name_Hall '-P 4 2'
loop_
_atom_site_label
_atom_site_fract_x
_atom_site_fract_y
_atom_site_fract_z
_atom_site_occupancy
Be1 0.000 0.000 0.000 1
Re1 0.000 0.000 0.500 1
Se1 0.000 0.500 0.500 1
N1 0.500 0.500 0.000 1
# Calculated volume   104.3 Å³ per cell
# N(E_F)   2.19 states/eV/f.u.
# Formation energy without anion corrections   1.42 eV/atom
# E above lowest polymorph   0.7619 eV/atom

---

Record 8
# La2HoBe, relaxed, DFT GGA-PBE
data_La2HoBe
_chemical_formula_sum 'La2 Ho1 Be1'
_cell_length_a 3.675
_cell_length_b 3.675
_cell_length_c 8.537
_cell_angle_alpha 90.00
_cell_angle_beta 90.00
_cell_angle_gamma 90.00
_space_group_name_H-M_alt 'P 4/m m m'
_space_group_IT_number 123
_space_group_name_Hall '-P 4 2'
loop_
_atom_site_label
_atom_site_fract_x
_atom_site_fract_y
_atom_site_fract_z
_atom_site_occupancy
La1 0.000 0.000 0.197 1
Ho1 0.500 0.500 0.500 1
Be1 0.500 0.500 0.000 1
# Calculated volume   115.3 Å³ per cell
# N(E_F)   5.95 states/eV/f.u.
# Formation energy   0.14 eV/atom